! CsPWO2 | Alexandria | GGA+U | relaxed; values from VASP
&SYSTEM
  ibrav = 0, nat = 5, ntyp = 4
/
ATOMIC_SPECIES
W 183.84 W.upf
O 16.00 O.upf
Cs 132.91 Cs.upf
P 30.97 P.upf
ATOMIC_POSITIONS angstrom
W 2.0741 2.0741 3.6835
O 2.0741 0.0000 0.0000
O 0.0000 2.0741 0.0000
Cs 0.0000 0.0000 0.0000
P 0.0000 0.0000 3.6835
CELL_PARAMETERS angstrom
4.1483 0.0000 0.0000
0.0000 4.1483 0.0000
0.0000 0.0000 7.3670
! **Total energy**: -3.5312 eV per atom
! **Magnetic moment**: 3.0 μB/f.u.